# 1
{
  "formula": "HfH2Ru",
  "functional": "PBE",
  "state": "optimized geometry",
  "lattice": [[1.280, -2.617, 2.517], [1.636, 1.137, 3.295], [-1.840, -0.518, 3.342]],
  "species": ["Ru", "H", "H", "Hf"],
  "fractional_positions": [[0.000, 0.000, 0.000], [0.250, 0.250, 0.250], [0.750, 0.750, 0.750], [0.500, 0.500, 0.500]],
  "polymorph_energy_kj_per_mol_fu": 178
}

# 2
{
  "formula": "K4Ce6Br19",
  "functional": "PBE",
  "state": "optimized geometry",
  "lattice": [[10.963, 0.000, -3.876], [-5.481, 9.494, -3.876], [0.000, 0.000, 11.628]],
  "species": ["Br", "Br", "Br", "Br", "Br", "Br", "Br", "Br", "Br", "Br", "Br", "Br", "Br", "Br", "Br", "Br", "Br", "Br", "Br", "Ce", "Ce", "Ce", "Ce", "Ce", "Ce", "K", "K", "K", "K"],
  "fractional_positions": [[0.339, 0.339, 0.000], [0.339, 0.000, 0.339], [0.320, 0.604, 0.358], [0.039, 0.284, 0.680], [0.604, 0.358, 0.320], [0.661, 0.000, 0.661], [0.000, 0.339, 0.339], [0.716, 0.754, 0.396], [0.680, 0.039, 0.284], [0.754, 0.396, 0.716], [0.661, 0.661, 0.000], [0.000, 0.661, 0.661], [0.000, 0.000, 0.000], [0.396, 0.716, 0.754], [0.246, 0.961, 0.642], [0.642, 0.246, 0.961], [0.284, 0.680, 0.039], [0.358, 0.320, 0.604], [0.961, 0.642, 0.246], [0.500, 0.152, 0.652], [0.500, 0.848, 0.348], [0.848, 0.348, 0.500], [0.152, 0.652, 0.500], [0.348, 0.500, 0.848], [0.652, 0.500, 0.152], [0.000, 0.000, 0.724], [0.724, 0.000, 0.000], [0.276, 0.276, 0.276], [0.000, 0.724, 0.000]],
  "e_tot_ev_per_atom": -4.201
}

# 3
{
  "formula": "Pr2Sm3Er",
  "functional": "PBE",
  "state": "optimized geometry",
  "lattice": [[-0.436, 3.355, 0.523], [-4.064, -1.351, 5.273], [14.134, 0.133, 10.927]],
  "species": ["Pr", "Pr", "Pr", "Pr", "Sm", "Sm", "Sm", "Sm", "Sm", "Sm", "Er", "Er"],
  "fractional_positions": [[0.500, 0.762, 0.151], [0.500, 0.238, 0.849], [0.000, 0.262, 0.349], [0.000, 0.738, 0.651], [0.500, 0.500, 0.500], [0.000, 0.000, 0.000], [0.000, 0.244, 0.677], [0.000, 0.756, 0.323], [0.500, 0.744, 0.823], [0.500, 0.256, 0.177], [0.500, 0.500, 0.000], [0.000, 0.000, 0.500]],
  "polymorph_energy_kj_per_mol_fu": 108,
  "ef_ev_per_fu": 1.49
}

# 4
{
  "formula": "Nb2ZnO",
  "functional": "PBE",
  "state": "optimized geometry",
  "lattice": [[3.029, -1.946, 2.385], [-0.959, -3.593, 2.196], [1.628, -3.798, -1.256]],
  "species": ["O", "Nb", "Nb", "Zn"],
  "fractional_positions": [[0.000, 0.000, 0.000], [0.750, 0.750, 0.750], [0.250, 0.250, 0.250], [0.500, 0.500, 0.500]],
  "polymorph_energy_kj_per_mol_fu": 125
}

# 5
{
  "formula": "Rh2Se3",
  "functional": "PBE",
  "state": "optimized geometry",
  "lattice": [[8.773, -1.793, -0.006], [8.773, 1.793, -0.006], [8.409, 0.000, 3.078]],
  "species": ["Se", "Se", "Se", "Rh", "Rh"],
  "fractional_positions": [[0.218, 0.218, 0.218], [0.000, 0.000, 0.000], [0.782, 0.782, 0.782], [0.600, 0.600, 0.600], [0.400, 0.400, 0.400]],
  "e_tot_ev_per_atom": -5.325
}

# 6
{
  "formula": "UPaTiSn",
  "functional": "PBE",
  "state": "optimized geometry",
  "lattice": [[5.010, 0.000, 0.000], [2.505, 4.339, 0.000], [2.505, 1.446, 4.091]],
  "species": ["Pa", "Sn", "U", "Ti"],
  "fractional_positions": [[0.750, 0.750, 0.750], [0.500, 0.500, 0.500], [0.000, 0.000, 0.000], [0.250, 0.250, 0.250]],
  "ef_ev_per_fu": 0.70
}

# 7
{
  "formula": "Li3PdAu",
  "functional": "PBE",
  "state": "optimized geometry",
  "lattice": [[6.197, -0.233, 3.791], [0.800, 5.984, 3.053], [5.222, 0.749, 7.657]],
  "species": ["Li", "Li", "Li", "Li", "Li", "Li", "Pd", "Pd", "Au", "Au"],
  "fractional_positions": [[0.350, 0.515, 0.330], [0.904, 0.842, 0.595], [0.903, 0.242, 0.995], [0.022, 0.504, 0.115], [0.468, 0.177, 0.850], [0.469, 0.777, 0.451], [0.954, 0.678, 0.354], [0.418, 0.341, 0.091], [0.492, 0.008, 0.621], [0.879, 0.011, 0.824]],
  "polymorph_energy_kj_per_mol_fu": 0,
  "ef_ev_per_fu": -2.17
}

# 8
{
  "formula": "Y3Sc2Bi3",
  "functional": "PBE",
  "state": "optimized geometry",
  "lattice": [[-0.079, 1.883, 5.933], [-8.807, -1.773, 0.445], [5.983, -6.378, 2.104]],
  "species": ["Bi", "Bi", "Bi", "Bi", "Bi", "Bi", "Y", "Y", "Y", "Y", "Y", "Y", "Sc", "Sc", "Sc", "Sc"],
  "fractional_positions": [[0.250, 0.395, 0.000], [0.750, 0.395, 0.395], [0.750, 0.605, 0.000], [0.250, 0.000, 0.395], [0.750, 0.000, 0.605], [0.250, 0.605, 0.605], [0.250, 0.000, 0.756], [0.750, 0.244, 0.000], [0.750, 0.756, 0.756], [0.250, 0.244, 0.244], [0.250, 0.756, 0.000], [0.750, 0.000, 0.244], [0.500, 0.333, 0.667], [0.000, 0.333, 0.667], [0.000, 0.667, 0.333], [0.500, 0.667, 0.333]],
  "ef_ev_per_fu": -5.60
}

What did the fourth record say?
{
  "formula": "Nb2ZnO",
  "functional": "PBE",
  "state": "optimized geometry",
  "lattice": [[3.029, -1.946, 2.385], [-0.959, -3.593, 2.196], [1.628, -3.798, -1.256]],
  "species": ["O", "Nb", "Nb", "Zn"],
  "fractional_positions": [[0.000, 0.000, 0.000], [0.750, 0.750, 0.750], [0.250, 0.250, 0.250], [0.500, 0.500, 0.500]],
  "polymorph_energy_kj_per_mol_fu": 125
}

- What is the formula in the second record?
  K4Ce6Br19